No. 1
Density functional theory data (PBE) for a relaxed structure of Mn2Tl2CrSe4.

a = 13.007 Å, b = 3.446 Å, c = 8.994 Å
α = 90.00°, β = 100.75°, γ = 90.00°
Space group C2/m (No. 12)
Inequivalent atoms, fractional coordinates:
Mn 0.176 0.000 0.488 (multiplicity 4)
Tl 0.131 0.500 0.010 (multiplicity 4)
Cr 0.000 0.500 0.500 (multiplicity 2)
Se 0.027 0.000 0.307 (multiplicity 4)
Se 0.197 0.500 0.667 (multiplicity 4)

Summary:
The volume comes out at 22.001 Å³/atom. For the formation energy (no corrections), the calculation gives -0.27 eV per atom. As for the theoretical density: 7.43 Mg/m³.

=====

No. 2
Density functional theory data (PBE) for a relaxed structure of RbNb3Te.

a = 5.234 Å, b = 5.234 Å, c = 5.234 Å
α = 90.00°, β = 90.00°, γ = 90.00°
Space group Pm-3m (No. 221)
Inequivalent atoms, fractional coordinates:
Rb 0.000 0.000 0.000 (multiplicity 1)
Nb 0.000 0.500 0.500 (multiplicity 3)
Te 0.500 0.500 0.500 (multiplicity 1)

Summary:
The volume comes out at 28.679 Å³/atom. For the formation energy (no corrections), the calculation gives 1.56 eV per atom. As for the energy above the most stable polymorph in this dataset: 0.0 meV/atom. As for the theoretical density: 5.69 Mg/m³.

=====

No. 3
Density functional theory data (PBE) for a relaxed structure of CsMgGaOs2.

a = 4.872 Å, b = 4.872 Å, c = 5.830 Å
α = 90.00°, β = 90.00°, γ = 90.00°
Space group P4/mmm (No. 123)
Inequivalent atoms, fractional coordinates:
Cs 0.000 0.000 0.000 (multiplicity 1)
Mg 0.000 0.000 0.500 (multiplicity 1)
Ga 0.500 0.500 0.000 (multiplicity 1)
Os 0.000 0.500 0.500 (multiplicity 2)

Summary:
Its formation energy is 2.14 eV/atom. The volume comes out at 27.681 Å³/atom. As for the theoretical density: 7.29 Mg/m³.

=====

No. 4
Density functional theory data (PBE) for a relaxed structure of TmPuC.

a = 3.123 Å, b = 3.123 Å, c = 11.726 Å
α = 90.00°, β = 90.00°, γ = 90.00°
Space group I4mm (No. 107)
Inequivalent atoms, fractional coordinates:
Tm 0.000 0.000 0.000 (multiplicity 2)
Pu 0.000 0.000 0.769 (multiplicity 2)
C 0.000 0.000 0.381 (multiplicity 2)

Summary:
Its formation energy is 0.23 eV/atom. The volume comes out at 19.066 Å³/atom. As for the energy above the most stable polymorph in this dataset: 347.5 meV/atom. As for the theoretical density: 12.34 Mg/m³.

=====

No. 5
Density functional theory data (PBE) for a relaxed structure of SrPtO4.

a = 5.797 Å, b = 5.403 Å, c = 5.182 Å
α = 90.00°, β = 94.15°, γ = 90.00°
Space group P2_1/c (No. 14)
Inequivalent atoms, fractional coordinates:
Sr 0.000 0.000 0.000 (multiplicity 2)
Pt 0.500 0.000 0.500 (multiplicity 2)
O 0.190 0.116 0.435 (multiplicity 4)
O 0.384 0.689 0.305 (multiplicity 4)

Summary:
The volume comes out at 13.489 Å³/atom. For the formation energy (no corrections), the calculation gives -1.11 eV per atom. As for the theoretical density: 7.11 Mg/m³.

=====

No. 6
Density functional theory data (PBE) for a relaxed structure of CeSmZn2Ge2.

a = 4.2356 Å, b = 4.2356 Å, c = 8.3080 Å
α = 90.00°, β = 90.00°, γ = 120.00°
Space group P-3m1 (No. 164)
Inequivalent atoms, fractional coordinates:
Ce 0.0000 0.0000 0.0000 (multiplicity 1)
Sm 0.0000 0.0000 0.5000 (multiplicity 1)
Zn 0.3333 0.6667 0.2437 (multiplicity 2)
Ge 0.3333 0.6667 0.7467 (multiplicity 2)

Summary:
Its formation energy is -0.62 eV/atom. The volume comes out at 21.514 Å³/atom. As for the theoretical density: 7.29 Mg/m³.